K2Rb2ZnP2: optimized geometry, GGA-PBE.

a b c (Å): 9.622 9.622 9.622
angles (deg): 34.64 34.64 34.64
Atoms (fractional coordinates):
K 0.383 0.383 0.383
K 0.617 0.617 0.617
P 0.082 0.082 0.082
P 0.918 0.918 0.918
Rb 0.209 0.209 0.209
Rb 0.791 0.791 0.791
Zn 0.000 0.000 0.000

## Properties
Distance to the lowest polymorph of the same formula = 0 meV per atom
DFT total energy = -18.89 eV/cell
Calculated volume = 257 Å³/cell